[1]
DFT (GGA-PBE) results for a geometry-optimized NbZn3Pt4 structure.

Cell lengths 2.877, 2.877, 14.620 Å; angles 90.00, 90.00, 90.00 degrees
Sites, in units of the cell vectors:
Nb: 0.500 0.500 0.000
Zn: 0.500 0.500 0.260
Zn: 0.500 0.500 0.500
Zn: 0.500 0.500 0.740
Pt: 0.000 0.000 0.866
Pt: 0.000 0.000 0.134
Pt: 0.000 0.000 0.379
Pt: 0.000 0.000 0.621

Output
- total magnetization (μB/f.u.) = 0.000
- symmetry = No. 123
- energy of formation (eV/atom) = -0.606
- total energy (Ry per atom) = -0.3942

=====

[2]
DFT (GGA-PBE) results for a geometry-optimized NbZn2Pt9 structure.

Cell lengths 3.960, 3.960, 11.814 Å; angles 90.00, 90.00, 90.00 degrees
Sites, in units of the cell vectors:
Nb: 0.000 0.000 0.000
Zn: 0.000 0.000 0.339
Zn: 0.000 0.000 0.661
Pt: 0.500 0.500 0.000
Pt: 0.500 0.500 0.334
Pt: 0.500 0.500 0.666
Pt: 0.500 0.000 0.167
Pt: 0.500 0.000 0.500
Pt: 0.500 0.000 0.833
Pt: 0.000 0.500 0.167
Pt: 0.000 0.500 0.500
Pt: 0.000 0.500 0.833

Output
- total magnetization (μB/f.u.) = 0.000
- symmetry = No. 123
- energy of formation (eV/atom) = -0.490
- total energy (Ry per atom) = -0.4463